ErInPdPt after structural relaxation. Source: Alexandria, functional PBE.

The structure belongs to space group F-43m (No. 216); the cell edges are 6.7547, 6.7547 and 6.7547 Å and the angles 90.00°, 90.00° and 90.00°. Symmetry generates all atoms from Er at (0.0000, 0.0000, 0.0000), In at (0.0000, 0.0000, 0.5000), Pd at (0.2500, 0.2500, 0.7500) and Pt at (0.2500, 0.2500, 0.2500).

The value obtained for the formation energy is -0.909 eV/atom.

***

Er5In2PdRh2 after structural relaxation. Source: Alexandria, functional PBE.

The structure belongs to space group P4/mbm (No. 127); the cell edges are 11.5182, 11.5182 and 3.5633 Å and the angles 90.00°, 90.00° and 90.00°. Symmetry generates all atoms from Er at (0.0000, 0.5000, 0.0000), Er at (0.0709, 0.1981, 0.0000), In at (0.1750, 0.6750, 0.5000), Pd at (0.0000, 0.0000, 0.5000) and Rh at (0.1343, 0.3657, 0.5000).

The value obtained for the formation energy is -0.707 eV/atom.

***

Er4InPdRu2 after structural relaxation. Source: Alexandria, functional PBE.

The structure belongs to space group R-3m (No. 166, hexagonal axes); the cell edges are 4.9273, 4.9273 and 24.1522 Å and the angles 90.00°, 90.00° and 120.00°. Symmetry generates all atoms from Er at (0.0000, 0.0000, 0.1197), Er at (0.0000, 0.0000, 0.3708), In at (0.0000, 0.0000, 0.5000), Pd at (0.0000, 0.0000, 0.0000) and Ru at (0.0000, 0.0000, 0.2485).

The value obtained for the formation energy is -0.527 eV/atom.

***

ErScInPd after structural relaxation. Source: Alexandria, functional PBE.

The structure belongs to space group F-43m (No. 216); the cell edges are 7.0676, 7.0676 and 7.0676 Å and the angles 90.00°, 90.00° and 90.00°. Symmetry generates all atoms from Er at (0.0000, 0.0000, 0.0000), Sc at (0.0000, 0.0000, 0.5000), In at (0.2500, 0.2500, 0.2500) and Pd at (0.2500, 0.2500, 0.7500).

The value obtained for the formation energy is -0.600 eV/atom. The energy above the most stable polymorph in this dataset is 0.080 eV/atom.

***

ErSc2InPd4 after structural relaxation. Source: Alexandria, functional PBE.

The structure belongs to space group R-3m (No. 166, hexagonal axes); the cell edges are 4.7362, 4.7362 and 23.1428 Å and the angles 90.00°, 90.00° and 120.00°. Symmetry generates all atoms from Er at (0.0000, 0.0000, 0.0000), Sc at (0.0000, 0.0000, 0.2453), In at (0.0000, 0.0000, 0.5000), Pd at (0.0000, 0.0000, 0.1233) and Pd at (0.0000, 0.0000, 0.3748).

The value obtained for the formation energy is -0.845 eV/atom.

***

ErScInPd after structural relaxation. Source: Alexandria, functional PBE.

The structure belongs to space group P4mm (No. 99); the cell edges are 3.4060, 3.4060 and 7.5546 Å and the angles 90.00°, 90.00° and 90.00°. Symmetry generates all atoms from Er at (0.0000, 0.0000, 0.0000), Sc at (0.0000, 0.0000, 0.5547), In at (0.5000, 0.5000, 0.2924) and Pd at (0.5000, 0.5000, 0.7551).

The value obtained for the formation energy is -0.680 eV/atom. The energy above the most stable polymorph in this dataset is 0.000 eV/atom.

***

Q: What is the formula in the sixth record?
A: ErScInPd

***

Repeat the second record exactly.
Er5In2PdRh2 after structural relaxation. Source: Alexandria, functional PBE.

The structure belongs to space group P4/mbm (No. 127); the cell edges are 11.5182, 11.5182 and 3.5633 Å and the angles 90.00°, 90.00° and 90.00°. Symmetry generates all atoms from Er at (0.0000, 0.5000, 0.0000), Er at (0.0709, 0.1981, 0.0000), In at (0.1750, 0.6750, 0.5000), Pd at (0.0000, 0.0000, 0.5000) and Rh at (0.1343, 0.3657, 0.5000).

The value obtained for the formation energy is -0.707 eV/atom.